# 1
A plane-wave DFT calculation with PBE was carried out for an optimized crystal structure of PrPuSbTe.

Results
E_form (uncorrected), eV per formula unit: -3.703
ρ, g cm⁻³: 9.10
Magnetization, μB per formula unit: 5.93
Final energy, eV per atom: -7.5195
Offset from the most stable computed form, meV/atom: 199.0

a = 7.7346 Å, b = 7.7346 Å, c = 7.7346 Å
α = 90.00°, β = 90.00°, γ = 90.00°
With the nearest neighbours (Å) after each atom.
Fractional coordinates of all 16 atoms:
Pr: 0.0000 0.0000 0.0000  4 Sb 3.35, 4 Te 3.35
Pr: 0.0000 0.5000 0.5000  4 Sb 3.35, 4 Te 3.35
Pr: 0.5000 0.0000 0.5000  4 Sb 3.35, 4 Te 3.35
Pr: 0.5000 0.5000 0.0000  4 Sb 3.35, 4 Te 3.35
Pu: 0.0000 0.0000 0.5000  4 Sb 3.35, 4 Te 3.35
Pu: 0.0000 0.5000 0.0000  4 Sb 3.35, 4 Te 3.35
Pu: 0.5000 0.0000 0.0000  4 Sb 3.35, 4 Te 3.35
Pu: 0.5000 0.5000 0.5000  4 Sb 3.35, 4 Te 3.35
Sb: 0.2500 0.2500 0.7500  4 Pr 3.35, 4 Pu 3.35
Sb: 0.2500 0.7500 0.2500  4 Pr 3.35, 4 Pu 3.35
Sb: 0.7500 0.2500 0.2500  4 Pr 3.35, 4 Pu 3.35
Sb: 0.7500 0.7500 0.7500  4 Pr 3.35, 4 Pu 3.35
Te: 0.2500 0.2500 0.2500  4 Pr 3.35, 4 Pu 3.35
Te: 0.2500 0.7500 0.7500  4 Pr 3.35, 4 Pu 3.35
Te: 0.7500 0.2500 0.7500  4 Pr 3.35, 4 Pu 3.35
Te: 0.7500 0.7500 0.2500  4 Pr 3.35, 4 Pu 3.35

---

# 2
A plane-wave DFT calculation with PBE was carried out for an optimized crystal structure of KCdTe.

Results
E_form (uncorrected), eV per formula unit: -1.170
ρ, g cm⁻³: 4.37
Magnetization, μB per formula unit: 0.00
Final energy, eV per atom: -2.1082
Offset from the most stable computed form, meV/atom: 215.4

a = 4.2577 Å, b = 4.2577 Å, c = 11.7051 Å
α = 90.00°, β = 90.00°, γ = 90.00°
With the nearest neighbours (Å) after each atom.
Fractional coordinates of all 6 atoms:
K: 0.0000 0.0000 0.0000  1 Cd 3.35, 1 Te 3.48
K: 0.5000 0.5000 0.5000  1 Cd 3.35, 1 Te 3.48
Cd: 0.0000 0.0000 0.2858  4 Te 3.16, 1 K 3.35
Cd: 0.5000 0.5000 0.7858  4 Te 3.16, 1 K 3.35
Te: 0.0000 0.0000 0.7028  4 Cd 3.16, 1 K 3.48
Te: 0.5000 0.5000 0.2028  4 Cd 3.16, 1 K 3.48

---

# 3
A plane-wave DFT calculation with PBE was carried out for an optimized crystal structure of KSi2O4.

Results
E_form (uncorrected), eV per formula unit: -14.707
ρ, g cm⁻³: 1.72
Magnetization, μB per formula unit: 0.00
Final energy, eV per atom: -6.6404
Offset from the most stable computed form, meV/atom: 105.2

a = 7.9401 Å, b = 7.9401 Å, c = 4.8897 Å
α = 90.00°, β = 90.00°, γ = 90.00°
With the nearest neighbours (Å) after each atom.
Fractional coordinates of all 14 atoms:
K: 0.0000 0.0000 0.0000  4 O 2.78
K: 0.5000 0.5000 0.5000  4 O 2.78
Si: 0.0000 0.5000 0.2500  4 O 1.71
Si: 0.0000 0.5000 0.7500  4 O 1.71
Si: 0.5000 0.0000 0.2500  4 O 1.71
Si: 0.5000 0.0000 0.7500  4 O 1.71
O: 0.0000 0.3500 0.0000  2 Si 1.71
O: 0.0000 0.6500 0.0000  2 Si 1.71
O: 0.1500 0.5000 0.5000  2 Si 1.71
O: 0.3500 0.0000 0.0000  2 Si 1.71
O: 0.5000 0.1500 0.5000  2 Si 1.71
O: 0.5000 0.8500 0.5000  2 Si 1.71
O: 0.6500 0.0000 0.0000  2 Si 1.71
O: 0.8500 0.5000 0.5000  2 Si 1.71

---

# 4
A plane-wave DFT calculation with PBE was carried out for an optimized crystal structure of Hf2ScBe6.

Results
ρ, g cm⁻³: 6.30
Magnetization, μB per formula unit: 0.00
Energy of formation, kJ/mol of atoms: -13
Final energy, eV per atom: -5.5294

a = 6.6153 Å, b = 6.6153 Å, c = 3.1691 Å
α = 90.00°, β = 90.00°, γ = 120.00°
With the nearest neighbours (Å) after each atom.
Fractional coordinates of all 9 atoms:
Hf: 0.3333 0.6667 0.0000  12 Be 2.71
Hf: 0.6667 0.3333 0.0000  12 Be 2.71
Sc: 0.0000 0.0000 0.0000  12 Be 2.73
Be: 0.0000 0.3364 0.5000  3 Be 2.16-2.23
Be: 0.0000 0.6636 0.5000  3 Be 2.16-2.23
Be: 0.3364 0.0000 0.5000  3 Be 2.16-2.23
Be: 0.3364 0.3364 0.5000  3 Be 2.16-2.23
Be: 0.6636 0.0000 0.5000  3 Be 2.16-2.23
Be: 0.6636 0.6636 0.5000  3 Be 2.16-2.23

---

# 5
A plane-wave DFT calculation with PBE was carried out for an optimized crystal structure of LiSeCl2.

Results
E_form (uncorrected), eV per formula unit: -0.930
ρ, g cm⁻³: 2.81
Magnetization, μB per formula unit: 2.99
Final energy, eV per atom: -2.5054
Offset from the most stable computed form, meV/atom: 567.8

a = 7.1808 Å, b = 7.1808 Å, c = 7.1808 Å
α = 90.00°, β = 90.00°, γ = 90.00°
With the nearest neighbours (Å) after each atom.
Fractional coordinates of all 16 atoms:
Li: 0.0000 0.0000 0.0000  8 Cl 3.11
Li: 0.0000 0.5000 0.5000  8 Cl 3.11
Li: 0.5000 0.0000 0.5000  8 Cl 3.11
Li: 0.5000 0.5000 0.0000  8 Cl 3.11
Se: 0.0000 0.0000 0.5000  8 Cl 3.11
Se: 0.0000 0.5000 0.0000  8 Cl 3.11
Se: 0.5000 0.0000 0.0000  8 Cl 3.11
Se: 0.5000 0.5000 0.5000  8 Cl 3.11
Cl: 0.2500 0.2500 0.2500  4 Se 3.11, 4 Li 3.11
Cl: 0.2500 0.2500 0.7500  4 Se 3.11, 4 Li 3.11
Cl: 0.2500 0.7500 0.2500  4 Se 3.11, 4 Li 3.11
Cl: 0.2500 0.7500 0.7500  4 Se 3.11, 4 Li 3.11
Cl: 0.7500 0.2500 0.2500  4 Se 3.11, 4 Li 3.11
Cl: 0.7500 0.2500 0.7500  4 Se 3.11, 4 Li 3.11
Cl: 0.7500 0.7500 0.2500  4 Se 3.11, 4 Li 3.11
Cl: 0.7500 0.7500 0.7500  4 Li 3.11, 4 Se 3.11

---

# 6
A plane-wave DFT calculation with PBE was carried out for an optimized crystal structure of LaMgGa.

Results
ρ, g cm⁻³: 4.98
Magnetization, μB per formula unit: 0.14
Energy of formation, kJ/mol of atoms: -40
Final energy, eV per atom: -3.6012

a = 4.5247 Å, b = 4.5247 Å, c = 7.5903 Å
α = 90.00°, β = 90.00°, γ = 90.00°
With the nearest neighbours (Å) after each atom.
Fractional coordinates of all 6 atoms:
La: 0.2500 0.2500 0.1578  5 Ga 3.20-3.30, 4 Mg 3.44
La: 0.7500 0.7500 0.8422  5 Ga 3.20-3.30, 4 Mg 3.44
Mg: 0.2500 0.7500 0.5000  4 Ga 2.89, 4 Mg 3.20
Mg: 0.7500 0.2500 0.5000  4 Ga 2.89, 4 Mg 3.20
Ga: 0.2500 0.2500 0.7362  4 Mg 2.89, 1 La 3.20
Ga: 0.7500 0.7500 0.2638  4 Mg 2.89, 1 La 3.20

---

# 7
A plane-wave DFT calculation with PBE was carried out for an optimized crystal structure of KVSbTe2.

Results
E_form (uncorrected), eV per formula unit: -0.762
ρ, g cm⁻³: 5.10
Magnetization, μB per formula unit: 0.00
Final energy, eV per atom: -4.2768
Offset from the most stable computed form, meV/atom: 0.0

a = 5.3746 Å, b = 5.3746 Å, c = 5.2597 Å
α = 90.00°, β = 90.00°, γ = 90.00°
With the nearest neighbours (Å) after each atom.
Fractional coordinates of all 5 atoms:
K: 0.0000 0.0000 0.0000  8 Te 3.76, 4 Sb 3.80
V: 0.5000 0.5000 0.5000  2 Sb 2.63, 4 Te 2.69
Sb: 0.5000 0.5000 0.0000  2 V 2.63
Te: 0.0000 0.5000 0.5000  2 V 2.69
Te: 0.5000 0.0000 0.5000  2 V 2.69

---

# 8
A plane-wave DFT calculation with PBE was carried out for an optimized crystal structure of BiPdSeN2.

Results
E_form (uncorrected), eV per formula unit: 6.140
ρ, g cm⁻³: 7.90
Magnetization, μB per formula unit: 2.37
Final energy, eV per atom: -4.6139
Offset from the most stable computed form, meV/atom: 0.0

a = 4.1408 Å, b = 4.1408 Å, c = 5.1801 Å
α = 90.00°, β = 90.00°, γ = 90.00°
With the nearest neighbours (Å) after each atom.
Fractional coordinates of all 5 atoms:
Bi: 0.0000 0.0000 0.0000  4 Se 2.93
Pd: 0.5000 0.5000 0.5000  4 N 2.07
Se: 0.5000 0.5000 0.0000  2 Pd 2.59
N: 0.0000 0.5000 0.5000  2 Pd 2.07
N: 0.5000 0.0000 0.5000  2 Pd 2.07

---

Copy entry 8 word for word.
A plane-wave DFT calculation with PBE was carried out for an optimized crystal structure of BiPdSeN2.

Results
E_form (uncorrected), eV per formula unit: 6.140
ρ, g cm⁻³: 7.90
Magnetization, μB per formula unit: 2.37
Final energy, eV per atom: -4.6139
Offset from the most stable computed form, meV/atom: 0.0

a = 4.1408 Å, b = 4.1408 Å, c = 5.1801 Å
α = 90.00°, β = 90.00°, γ = 90.00°
With the nearest neighbours (Å) after each atom.
Fractional coordinates of all 5 atoms:
Bi: 0.0000 0.0000 0.0000  4 Se 2.93
Pd: 0.5000 0.5000 0.5000  4 N 2.07
Se: 0.5000 0.5000 0.0000  2 Pd 2.59
N: 0.0000 0.5000 0.5000  2 Pd 2.07
N: 0.5000 0.0000 0.5000  2 Pd 2.07

---

ρ of number 5 (LiSeCl2)? 2.81 g cm⁻³

---

Look up the ρ of the eighth one. 7.90 g cm⁻³